Density functional theory data (PBE) for an optimized crystal structure of Nd5InTe4.

Unit cell a=6.3653 b=7.8173 c=7.8173 alpha=80.46 beta=65.98 gamma=65.98
Closest atoms and distances in Å follow each position.
Fractional positions:
Nd 0.9031 0.3935 0.8021  1 In 3.15, 5 Te 3.18-3.22
In 0.0015 0.0000 0.0000  6 Nd 3.15-3.18
Nd 0.0987 0.6065 0.1979  1 In 3.15, 5 Te 3.18-3.22
Nd 0.7052 0.1979 0.3935  1 In 3.15, 5 Te 3.18-3.22
Te 0.5992 0.6012 0.2022  6 Nd 3.18-3.22
Nd 0.5016 0.0000 0.0000  2 In 3.18, 4 Te 3.19
Nd 0.2966 0.8021 0.6065  1 In 3.15, 5 Te 3.18-3.22
Te 0.4026 0.3988 0.7978  6 Nd 3.18-3.22
Te 0.2004 0.2022 0.3988  6 Nd 3.18-3.22
Te 0.8014 0.7978 0.6012  6 Nd 3.18-3.22

- E_form (uncorrected): -1.26 eV/atom

***

Density functional theory data (PBE) for an optimized crystal structure of Ba4HF7.

Unit cell a=4.4203 b=7.8476 c=7.6726 alpha=85.69 beta=73.26 gamma=73.64
Closest atoms and distances in Å follow each position.
Fractional positions:
Ba 0.2762 0.2898 0.1578  5 F 2.46-2.68
F 0.1106 0.6355 0.1432  3 Ba 2.61-2.87
Ba 0.5617 0.2204 0.6561  7 F 2.68-2.87
H 0.0000 0.0000 0.0000  2 F 2.21
F 0.6342 0.3991 0.3324  4 Ba 2.68-2.87, 1 F 2.89
F 0.8894 0.3645 0.8568  3 Ba 2.61-2.87
F 0.1998 0.1301 0.4703  4 Ba 2.60-2.79
F 0.5000 0.0000 0.0000  2 H 2.21, 2 Ba 2.46
F 0.8002 0.8699 0.5297  4 Ba 2.60-2.79
Ba 0.4383 0.7796 0.3439  7 F 2.68-2.87
Ba 0.7238 0.7102 0.8422  5 F 2.46-2.68
F 0.3658 0.6009 0.6676  4 Ba 2.68-2.87, 1 F 2.89

***

Density functional theory data (PBE) for an optimized crystal structure of Li2Th3Cu9.

Unit cell a=4.3530 b=8.6140 c=8.0081 alpha=122.54 beta=105.77 gamma=90.00
Closest atoms and distances in Å follow each position.
Fractional positions:
Cu 0.1298 0.8428 0.2597  4 Cu 2.47-2.75, 2 Li 2.75
Cu 0.3400 0.9863 0.6801  1 Li 2.50, 4 Cu 2.52-2.75
Li 0.5000 0.6864 0.0000  8 Cu 2.50-2.75
Li 0.5000 0.3136 0.0000  8 Cu 2.50-2.75
Cu 0.8702 0.1572 0.7403  4 Cu 2.47-2.75, 2 Li 2.75
Th 0.0000 0.0000 0.0000  12 Cu 2.98-3.24
Cu 0.0000 0.5000 0.0000  4 Cu 2.47, 4 Li 2.70
Th 0.7128 0.7128 0.4256  12 Cu 2.99-3.19, 2 Li 3.16
Cu 0.8702 0.5832 0.7403  4 Cu 2.47-2.75, 2 Li 2.75
Cu 0.6600 0.0137 0.3199  1 Li 2.50, 4 Cu 2.52-2.75
Th 0.2872 0.2872 0.5744  12 Cu 2.99-3.19, 2 Li 3.16
Cu 0.1298 0.4168 0.2597  4 Cu 2.47-2.75, 2 Li 2.75
Cu 0.6600 0.3063 0.3199  1 Li 2.50, 4 Cu 2.52-2.75
Cu 0.3400 0.6937 0.6801  1 Li 2.50, 4 Cu 2.52-2.75

- Calculated formation energy: -0.115 eV per atom

***

Density functional theory data (PBE) for an optimized crystal structure of YZr5.

Unit cell a=3.2812 b=6.1873 c=7.7286 alpha=76.75 beta=90.00 gamma=105.38
Closest atoms and distances in Å follow each position.
Fractional positions:
Zr 0.0537 0.1074 0.3938  11 Zr 3.19-3.34, 1 Y 3.25
Zr 0.6696 0.3391 0.6613  10 Zr 3.19-3.28, 2 Y 3.33
Zr 0.3886 0.7771 0.7149  10 Zr 3.15-3.32, 2 Y 3.28
Y 0.0011 0.0023 0.9995  10 Zr 3.21-3.37, 2 Y 3.28
Zr 0.7261 0.4523 0.0567  9 Zr 3.20-3.34, 3 Y 3.21-3.26
Zr 0.3276 0.6551 0.3405  10 Zr 3.15-3.28, 2 Y 3.37

- Calculated formation energy: 0.042 eV per atom

***

Density functional theory data (PBE) for an optimized crystal structure of Li2Tb2PrGa2.

Unit cell a=4.6778 b=4.6778 c=9.2405 alpha=75.34 beta=75.34 gamma=60.00
Closest atoms and distances in Å follow each position.
Fractional positions:
Li 0.5965 0.5965 0.2105  3 Ga 2.70
Tb 0.8724 0.8724 0.3827  3 Ga 3.03, 3 Li 3.10, 1 Pr 3.38
Li 0.4035 0.4035 0.7895  3 Ga 2.70
Tb 0.1276 0.1276 0.6173  3 Ga 3.03, 3 Li 3.10, 1 Pr 3.38
Pr 0.0000 0.0000 0.0000  6 Li 3.28, 6 Ga 3.36, 2 Tb 3.38
Ga 0.2577 0.2577 0.2270  3 Li 2.70
Ga 0.7423 0.7423 0.7730  3 Li 2.70

- Calculated formation energy: -0.285 eV per atom

***

Density functional theory data (PBE) for an optimized crystal structure of TiRePb2W.

Unit cell a=5.2220 b=4.6378 c=5.2220 alpha=90.00 beta=90.00 gamma=90.00
Closest atoms and distances in Å follow each position.
Fractional positions:
Pb 0.0000 0.0000 0.5000  2 Ti 2.61
W 0.0000 0.5000 0.0000  2 Ti 2.32
Re 0.5000 0.5000 0.5000  8 Pb 3.49, 4 W 3.69
Pb 0.5000 0.0000 0.0000  2 Ti 2.61
Ti 0.0000 0.0000 0.0000  2 W 2.32

- Calculated formation energy: 1.985 eV per atom

***

Density functional theory data (PBE) for an optimized crystal structure of YAlGaPt2.

Unit cell a=3.9870 b=3.9870 c=6.5576 alpha=107.70 beta=107.70 gamma=90.00
Closest atoms and distances in Å follow each position.
Fractional positions:
Ga 0.2500 0.7500 0.5000  4 Pt 2.56, 4 Al 2.82
Pt 0.3853 0.3853 0.7707  2 Ga 2.56, 2 Al 2.56, 1 Pt 2.72
Y 0.0000 0.0000 0.0000  8 Pt 3.13
Al 0.7500 0.2500 0.5000  4 Pt 2.56, 4 Ga 2.82
Pt 0.6147 0.6147 0.2293  2 Al 2.56, 2 Ga 2.56, 1 Pt 2.72

- Calculated formation energy: -1.032 eV per atom

***

Density functional theory data (PBE) for an optimized crystal structure of YZnGa3.

Unit cell a=4.2200 b=4.2254 c=6.1259 alpha=69.74 beta=69.78 gamma=89.90
Closest atoms and distances in Å follow each position.
Fractional positions:
Ga 0.7929 0.5963 0.1208  1 Zn 2.39, 4 Ga 2.60-2.61
Zn 0.0155 0.8192 0.6726  5 Ga 2.39-2.55
Ga 0.1500 0.4520 0.4072  2 Zn 2.54-2.55, 2 Ga 2.60-2.61
Y 0.4007 0.2042 0.9040  12 Ga 3.20-3.42, 4 Zn 3.23-3.24
Ga 0.6486 0.9535 0.4066  2 Zn 2.54, 2 Ga 2.61

- Calculated formation energy: -0.398 eV per atom

***

| no. | VASP energy (eV/atom) |
| --- | --- |
| 1 | -5.17 |
| 2 | -5.21 |
| 3 | -4.61 |
| 4 | -8.16 |
| 5 | -3.70 |
| 6 | -6.16 |
| 7 | -6.10 |
| 8 | -3.76 |